# 1
Co2Mo: optimized geometry, PBE-GGA.

Properties
ΔE_f, eV/atom: 0.095
Density of states at the Fermi level, states/eV/cell: 7.0
Calculated density, g/cm3: 9.5

Structure (CIF):
```
data_Co2Mo
_chemical_formula_sum 'Co4 Mo2'
_symmetry_space_group_name_H-M 'I 4/m m m'
_symmetry_Int_Tables_number 139
_symmetry_space_group_name_Hall '-I 4 2'
_cell_length_a 2.6116
_cell_length_b 2.6116
_cell_length_c 10.9600
_cell_angle_alpha 90.00
_cell_angle_beta 90.00
_cell_angle_gamma 90.00
loop_
_atom_site_label
_atom_site_fract_x
_atom_site_fract_y
_atom_site_fract_z
Co1 0.0000 0.0000 0.1787
Mo1 0.0000 0.0000 0.5000
```



# 2
K3SrPu2O9: optimized geometry, PBE-GGA.

Properties
Density of states at the Fermi level, states/eV/cell: 6.6
Calculated density, g/cm3: 5.5
E_form (uncorrected), meV/atom: -2387

Structure (CIF):
```
data_K3SrPu2O9
_chemical_formula_sum 'K3 Sr1 Pu2 O9'
_symmetry_space_group_name_H-M 'P -3 m 1'
_symmetry_Int_Tables_number 164
_symmetry_space_group_name_Hall '-P 3 2"'
_cell_length_a 6.1688
_cell_length_b 6.1688
_cell_length_c 7.6320
_cell_angle_alpha 90.00
_cell_angle_beta 90.00
_cell_angle_gamma 120.00
loop_
_atom_site_label
_atom_site_fract_x
_atom_site_fract_y
_atom_site_fract_z
K1 0.0000 0.0000 0.0000
K2 0.3333 0.6667 0.6629
Sr1 0.0000 0.0000 0.5000
Pu1 0.3333 0.6667 0.1562
O1 0.0000 0.5000 0.0000
O2 0.1828 0.3655 0.3056
```